No. 1
This record from Alexandria via LeMat-Bulk describes crystalline Sc2TlFe at its relaxed geometry. The functional is PBEsol.

## Properties
Space group   No. 123
Total DFT energy (no corrections)   -25.87 eV/cell

Cell lengths 3.186, 3.186, 7.196 Å; angles 90.00, 90.00, 90.00 degrees
Element x y z (fractional)
1 Sc 0.000 0.000 0.203
2 Sc 0.000 0.000 0.797
3 Tl 0.500 0.500 0.500
4 Fe 0.500 0.500 0.000



No. 2
This record from Alexandria via LeMat-Bulk describes crystalline ZrHgAs2 at its relaxed geometry. The functional is PBEsol.

## Properties
Space group   No. 12
Total DFT energy (no corrections)   -42.08 eV/cell

Cell lengths 9.480, 3.344, 5.332 Å; angles 90.00, 100.76, 90.00 degrees
Element x y z (fractional)
1 Zr 0.000 0.000 0.000
2 Zr 0.500 0.500 0.000
3 Hg 0.000 0.500 0.500
4 Hg 0.500 0.000 0.500
5 As 0.234 0.500 0.177
6 As 0.266 0.000 0.823
7 As 0.734 0.000 0.177
8 As 0.766 0.500 0.823



| no. | DFT formation energy (meV per atom) |
| --- | --- |
| 1 | -267 |
| 2 | -292 |